# Sr2LaZrTi

A relaxed structure of Sr2LaZrTi (GGA-PBE, Alexandria).

Values from the calculation:
As for the density of states at the Fermi level: 2.03 states/eV/atom. Its crystal system is tetragonal. The calculation puts the formation energy at 6.4 eV per formula unit.

abc: 5.9701 5.9701 4.9098
angles: 90.00 90.00 90.00
Space group P4/mmm (No. 123)
Asymmetric unit:
Sr 0.0000 0.5000 0.0000 (multiplicity 2)
La 0.0000 0.0000 0.0000 (multiplicity 1)
Zr 0.5000 0.5000 0.5000 (multiplicity 1)
Ti 0.0000 0.0000 0.5000 (multiplicity 1)

=====

# TlReN2F

A relaxed structure of TlReN2F (GGA-PBE, Alexandria).

Values from the calculation:
As for the density of states at the Fermi level: 0.72 states/eV/atom. For the uncorrected energy, the calculation gives -33.9 eV/f.u. Its crystal system is tetragonal.

abc: 3.9184 3.9184 4.5884
angles: 90.00 90.00 90.00
Space group P4/mmm (No. 123)
Asymmetric unit:
Tl 0.0000 0.0000 0.0000 (multiplicity 1)
Re 0.5000 0.5000 0.5000 (multiplicity 1)
N 0.0000 0.5000 0.5000 (multiplicity 2)
F 0.5000 0.5000 0.0000 (multiplicity 1)

=====

# SmDy3Ho2Sb6

A relaxed structure of SmDy3Ho2Sb6 (GGA-PBE, Alexandria).

Values from the calculation:
As for the density of states at the Fermi level: 0.16 states/eV/atom. For the uncorrected energy, the calculation gives -66.0 eV/f.u. Its crystal system is monoclinic.

abc: 19.1464 4.3932 8.7861
angles: 90.00 103.22 90.00
Space group C2/m (No. 12)
Asymmetric unit:
Sm 0.0000 0.0000 0.0000 (multiplicity 2)
Dy 0.0000 0.0000 0.5000 (multiplicity 2)
Dy 0.1659 0.5000 0.8324 (multiplicity 4)
Ho 0.1671 0.5000 0.3335 (multiplicity 4)
Sb 0.0007 0.5000 0.2543 (multiplicity 4)
Sb 0.1669 0.0000 0.5823 (multiplicity 4)
Sb 0.1683 0.0000 0.0847 (multiplicity 4)

=====

# TeOs2Pt

A relaxed structure of TeOs2Pt (GGA-PBE, Alexandria).

Values from the calculation:
As for the density of states at the Fermi level: 1.05 states/eV/atom. For the uncorrected energy, the calculation gives -29.4 eV/f.u. Its crystal system is trigonal.

abc: 2.9131 2.9131 27.8239
angles: 90.00 90.00 120.00
Space group R3m (No. 160, hexagonal axes)
Asymmetric unit:
Te 0.0000 0.0000 0.0000 (multiplicity 3)
Os 0.0000 0.0000 0.2472 (multiplicity 3)
Os 0.0000 0.0000 0.5088 (multiplicity 3)
Pt 0.0000 0.0000 0.7605 (multiplicity 3)

=====

# Na7Tl3Pb

A relaxed structure of Na7Tl3Pb (GGA-PBE, Alexandria).

Values from the calculation:
As for the density of states at the Fermi level: 0.38 states/eV/atom. Its crystal system is orthorhombic. The calculation puts the formation energy at -0.9 eV per formula unit.

abc: 3.4398 26.5657 14.9202
angles: 90.00 90.00 90.00
Space group Cmcm (No. 63)
Asymmetric unit:
Na 0.0000 0.0214 0.1173 (multiplicity 8)
Na 0.0000 0.0962 0.7500 (multiplicity 4)
Na 0.0000 0.1585 0.0892 (multiplicity 8)
Na 0.0000 0.2960 0.1168 (multiplicity 8)
Tl 0.0000 0.2793 0.7500 (multiplicity 4)
Tl 0.0000 0.4156 0.0528 (multiplicity 8)
Pb 0.0000 0.4006 0.7500 (multiplicity 4)

=====

# ZrHg2Rh

A relaxed structure of ZrHg2Rh (GGA-PBE, Alexandria).

Values from the calculation:
As for the density of states at the Fermi level: 1.04 states/eV/atom. Its crystal system is tetragonal. The calculation puts the formation energy at 0.7 eV per formula unit.

abc: 7.9364 7.9364 5.4364
angles: 90.00 90.00 90.00
Space group I-42d (No. 122)
Asymmetric unit:
Zr 0.0000 0.0000 0.0000 (multiplicity 4)
Hg 0.2218 0.2500 0.6250 (multiplicity 8)
Rh 0.0000 0.0000 0.5000 (multiplicity 4)